A geometry-optimized Rb2Y2HfS6 structure, computed with GGA-PBE.

a = 6.8303 Å, b = 11.7345 Å, c = 8.2079 Å
α = 90.00°, β = 106.54°, γ = 90.00°
Space group C2/m (No. 12)
One atom of each set of equivalent atoms:
Rb: 0.0000 0.1702 0.0000 [4 per cell]
Y: 0.0000 0.3334 0.5000 [4 per cell]
Hf: 0.0000 0.0000 0.5000 [2 per cell]
S: 0.2208 0.1572 0.6853 [8 per cell]
S: 0.2492 0.0000 0.3159 [4 per cell]

Summary:
- formation energy from raw total energies (eV per atom) = -1.81
- total moment (μB per cell) = 0.000